1.
{
  "formula": "LaMoBr",
  "functional": "SCAN",
  "state": "PBEsol geometry",
  "cell": [[3.357, 0.000, 0.000], [-1.679, 2.907, 0.000], [0.000, 0.000, 7.039]],
  "species": ["La", "Mo", "Br"],
  "frac_coords": [[0.000, 0.000, 0.000], [0.667, 0.333, 0.664], [0.333, 0.667, 0.387]],
  "dos_at_fermi_per_ev_fu": 1.8,
  "vol_a3_per_cell": 68.7,
  "sg": "P3m1 (156)",
  "formation_energy_uncorrected_ev_per_atom": 0.32,
  "magnetic_moment_mub_per_cell": 2.06
}

2.
{
  "formula": "La3MoBr",
  "functional": "SCAN",
  "state": "PBEsol geometry",
  "cell": [[5.520, 0.000, 0.000], [0.000, 5.520, 0.000], [0.000, 0.000, 5.520]],
  "species": ["La", "La", "La", "Mo", "Br"],
  "frac_coords": [[0.000, 0.000, 0.500], [0.000, 0.500, 0.000], [0.500, 0.000, 0.000], [0.500, 0.500, 0.500], [0.000, 0.000, 0.000]],
  "dos_at_fermi_per_ev_fu": 5.1,
  "vol_a3_per_cell": 168.2,
  "sg": "Pm-3m (221)",
  "formation_energy_uncorrected_ev_per_atom": 0.27,
  "magnetic_moment_mub_per_cell": 3.78
}

3.
{
  "formula": "La2TaMoBr",
  "functional": "SCAN",
  "state": "PBEsol geometry",
  "cell": [[5.525, 0.000, 0.000], [0.000, 5.525, 0.000], [0.000, 0.000, 4.557]],
  "species": ["La", "La", "Ta", "Mo", "Br"],
  "frac_coords": [[0.000, 0.500, 0.000], [0.500, 0.000, 0.000], [0.000, 0.000, 0.500], [0.500, 0.500, 0.500], [0.500, 0.500, 0.000]],
  "dos_at_fermi_per_ev_fu": 4.3,
  "vol_a3_per_cell": 139.1,
  "sg": "P4/mmm (123)",
  "formation_energy_uncorrected_ev_per_atom": 0.90,
  "magnetic_moment_mub_per_cell": 1.25
}